# 1
CaPtN2 after structural relaxation. Source: Alexandria via LeMat-Bulk, functional PBE-GGA.

extended XYZ file:
```
4
Lattice="1.9756 1.1406 5.5796 -1.9756 1.1406 5.5796 0.0000 -2.2813 5.5796" Properties=species:S:1:pos:R:3 pbc="T T T"
Ca 0.0000 0.0000 0.0000
Pt 0.0000 0.0000 8.3695
N 0.0000 0.0000 6.5876
N 0.0000 0.0000 10.1513
```

Output
For the total energy, the calculation gives -0.4437 Ry/atom. The energy relative to the lowest polymorph listed for this composition comes out at 0 meV/atom. The value obtained for the uncorrected formation energy is 0.548 eV per formula unit. As for the space group: No. 166.

# 2
NbOsIN2 after structural relaxation. Source: Alexandria via LeMat-Bulk, functional PBE-GGA.

extended XYZ file:
```
5
Lattice="3.8996 0.0000 0.0000 0.0000 3.8996 0.0000 0.0000 0.0000 5.8129" Properties=species:S:1:pos:R:3 pbc="T T T"
Nb 0.0000 0.0000 0.0000
Os 1.9498 1.9498 2.9064
I 1.9498 1.9498 0.0000
N 0.0000 1.9498 2.9064
N 1.9498 0.0000 2.9064
```

Output
For the total energy, the calculation gives -0.4869 Ry/atom. The energy relative to the lowest polymorph listed for this composition comes out at 0 meV/atom. The value obtained for the uncorrected formation energy is 6.377 eV per formula unit. As for the space group: No. 123.

# 3
Pr2Nd6Al after structural relaxation. Source: Alexandria via LeMat-Bulk, functional PBE-GGA.

extended XYZ file:
```
9
Lattice="8.8717 -4.8428 0.0000 8.8717 4.8428 0.0000 -0.3526 0.0000 3.5981" Properties=species:S:1:pos:R:3 pbc="T T T"
Pr 2.9104 0.0000 1.5502
Pr 14.4805 0.0000 2.0480
Nd 5.9605 1.6279 0.1067
Nd 8.6954 2.7112 1.7991
Nd 11.4303 1.6279 3.4914
Nd 5.9605 -1.6279 0.1067
Nd 8.6954 -2.7112 1.7991
Nd 11.4303 -1.6279 3.4914
Al 8.8717 0.0000 0.0000
```

Output
For the total energy, the calculation gives -0.3368 Ry/atom. For the formation energy from the elements, the calculation gives 7 kJ/mol of atoms. As for the space group: No. 12.

# 4
NdGdNi after structural relaxation. Source: Alexandria via LeMat-Bulk, functional PBE-GGA.

extended XYZ file:
```
3
Lattice="-1.7416 1.7416 6.3549 1.7416 -1.7416 6.3549 1.7416 1.7416 -6.3549" Properties=species:S:1:pos:R:3 pbc="T T T"
Nd 0.0000 0.0000 0.0000
Gd 0.0000 0.0000 9.4062
Ni 0.0000 0.0000 4.5971
```

Output
For the total energy, the calculation gives -0.6157 Ry/atom. The energy relative to the lowest polymorph listed for this composition comes out at 0 meV/atom. For the formation energy from the elements, the calculation gives -16 kJ/mol of atoms. As for the space group: No. 107.